{"formula": "Sn4As3", "functional": "GGA-PBE", "state": "optimized geometry", "n_ef_per_ev_cell": 2.9, "energy_ev_per_cell": -29.94, "formation_enthalpy_0k_mev_per_atom": 3, "polymorph_energy_mev_per_atom": 101, "volume_a3_per_cell": 179, "mass_density_g_cm3": 6.50, "sg": "C2/m, No. 12", "crystal_system": "monoclinic", "lattice_angstrom": [[2.059, 8.329, -3.681], [-2.059, 8.329, -3.681], [0.000, 0.164, 5.137]], "species": ["Sn", "Sn", "Sn", "Sn", "As", "As", "As"], "fractional_positions": [[0.285, 0.285, 0.762], [0.715, 0.715, 0.238], [0.569, 0.569, 0.411], [0.431, 0.431, 0.589], [0.000, 0.000, 0.000], [0.863, 0.863, 0.137], [0.137, 0.137, 0.863]]}

---

{"formula": "PrNd4Er3", "functional": "GGA-PBE", "state": "optimized geometry", "n_ef_per_ev_cell": 14.5, "energy_ev_per_cell": -36.50, "formation_enthalpy_0k_mev_per_atom": 130, "polymorph_energy_mev_per_atom": 101, "volume_a3_per_cell": 270, "mass_density_g_cm3": 7.51, "sg": "Immm, No. 71", "crystal_system": "orthorhombic", "lattice_angstrom": [[0.504, -3.124, -1.494], [1.139, -4.897, 10.635], [-7.270, 2.890, -4.395]], "species": ["Pr", "Nd", "Nd", "Nd", "Nd", "Er", "Er", "Er"], "fractional_positions": [[0.500, 0.000, 0.000], [0.633, 0.384, 0.267], [0.367, 0.616, 0.733], [0.367, 0.117, 0.733], [0.633, 0.883, 0.267], [0.000, 0.500, 0.000], [0.760, 0.760, 0.520], [0.240, 0.240, 0.480]]}

---

{"formula": "SrCl", "functional": "GGA-PBE", "state": "optimized geometry", "n_ef_per_ev_cell": 0.9, "energy_ev_per_cell": -27.88, "e_form_raw_ev_per_atom": -1.7211, "volume_a3_per_cell": 331, "mass_density_g_cm3": 2.47, "sg": "Cm, No. 8", "crystal_system": "monoclinic", "lattice_angstrom": [[9.796, 0.000, 0.003], [0.000, 4.414, 0.000], [-0.014, 0.000, 7.663]], "species": ["Sr", "Sr", "Sr", "Sr", "Cl", "Cl", "Cl", "Cl"], "fractional_positions": [[0.515, 0.000, 0.905], [0.515, 0.500, 0.405], [0.153, 0.000, 0.574], [0.153, 0.500, 0.074], [0.662, 0.000, 0.239], [0.662, 0.500, 0.739], [0.008, 0.000, 0.907], [0.008, 0.500, 0.407]]}

---

{"formula": "CsInS2I", "functional": "GGA-PBE", "state": "optimized geometry", "n_ef_per_ev_cell": 2.5, "energy_ev_per_cell": -12.01, "e_form_raw_ev_per_atom": 0.2769, "volume_a3_per_cell": 194, "mass_density_g_cm3": 3.75, "sg": "P4/mmm, No. 123", "crystal_system": "tetragonal", "lattice_angstrom": [[5.445, 0.000, 0.000], [0.000, 6.558, 0.000], [0.000, 0.000, 5.445]], "species": ["Cs", "I", "S", "S", "In"], "fractional_positions": [[0.000, 0.500, 0.000], [0.000, 0.000, 0.000], [0.000, 0.000, 0.500], [0.500, 0.000, 0.000], [0.500, 0.500, 0.500]]}

---

{"formula": "SmAsO", "functional": "GGA-PBE", "state": "optimized geometry", "n_ef_per_ev_cell": 0.5, "energy_ev_per_cell": -40.00, "e_form_raw_ev_per_atom": -1.8912, "volume_a3_per_cell": 121, "mass_density_g_cm3": 6.62, "sg": "Cmcm, No. 63", "crystal_system": "orthorhombic", "lattice_angstrom": [[3.204, 0.000, 0.000], [-1.602, 6.939, 0.000], [0.000, 0.000, 5.444]], "species": ["O", "O", "Sm", "Sm", "As", "As"], "fractional_positions": [[0.500, 0.000, 0.500], [0.500, 0.000, 0.000], [0.071, 0.142, 0.250], [0.929, 0.858, 0.750], [0.235, 0.469, 0.750], [0.765, 0.531, 0.250]]}

---

{"formula": "ErTm3Sb3", "functional": "GGA-PBE", "state": "optimized geometry", "n_ef_per_ev_cell": 26.0, "energy_ev_per_cell": -147.30, "polymorph_energy_mev_per_atom": 0, "e_form_raw_ev_per_atom": -0.9257, "volume_a3_per_cell": 750, "mass_density_g_cm3": 9.20, "sg": "P2_13, No. 198", "crystal_system": "cubic", "lattice_angstrom": [[9.086, 0.000, 0.000], [0.000, 9.086, 0.000], [0.000, 0.000, 9.086]], "species": ["Er", "Er", "Er", "Er", "Tm", "Tm", "Tm", "Tm", "Tm", "Tm", "Tm", "Tm", "Tm", "Tm", "Tm", "Tm", "Sb", "Sb", "Sb", "Sb", "Sb", "Sb", "Sb", "Sb", "Sb", "Sb", "Sb", "Sb"], "fractional_positions": [[0.073, 0.573, 0.927], [0.927, 0.073, 0.573], [0.427, 0.427, 0.427], [0.573, 0.927, 0.073], [0.823, 0.323, 0.177], [0.926, 0.926, 0.926], [0.823, 0.677, 0.323], [0.177, 0.823, 0.323], [0.177, 0.177, 0.177], [0.323, 0.823, 0.677], [0.074, 0.426, 0.574], [0.323, 0.177, 0.823], [0.677, 0.323, 0.823], [0.677, 0.677, 0.677], [0.574, 0.074, 0.426], [0.426, 0.574, 0.074], [0.749, 0.625, 0.000], [0.875, 0.000, 0.249], [0.000, 0.749, 0.625], [0.125, 0.500, 0.251], [0.251, 0.125, 0.500], [0.249, 0.875, 0.000], [0.000, 0.249, 0.875], [0.375, 0.500, 0.751], [0.500, 0.251, 0.125], [0.625, 0.000, 0.749], [0.751, 0.375, 0.500], [0.500, 0.751, 0.375]]}

---

{"formula": "Tm2NpPaC4", "functional": "GGA-PBE", "state": "optimized geometry", "n_ef_per_ev_cell": 6.0, "energy_ev_per_cell": -70.46, "formation_enthalpy_0k_mev_per_atom": -273, "volume_a3_per_cell": 126, "mass_density_g_cm3": 11.23, "sg": "P2/m, No. 10", "crystal_system": "monoclinic", "lattice_angstrom": [[3.575, 0.000, 0.000], [0.000, 6.061, -0.089], [0.000, 2.161, 5.795]], "species": ["Tm", "Tm", "Np", "Pa", "C", "C", "C", "C"], "fractional_positions": [[0.000, 0.000, 0.000], [0.500, 0.000, 0.500], [0.500, 0.500, 0.000], [0.000, 0.500, 0.500], [0.000, 0.727, 0.763], [0.000, 0.273, 0.237], [0.500, 0.725, 0.246], [0.500, 0.275, 0.754]]}

---

{"formula": "PuThTa4", "functional": "GGA-PBE", "state": "optimized geometry", "n_ef_per_ev_cell": 10.3, "energy_ev_per_cell": -67.79, "formation_enthalpy_0k_mev_per_atom": 229, "volume_a3_per_cell": 132, "mass_density_g_cm3": 15.12, "sg": "F-43m, No. 216", "crystal_system": "cubic", "lattice_angstrom": [[-1.231, 3.367, 4.447], [-0.705, -2.271, 5.193], [3.908, 0.902, 4.067]], "species": ["Ta", "Ta", "Ta", "Ta", "Th", "Pu"], "fractional_positions": [[0.625, 0.625, 0.124], [0.625, 0.124, 0.625], [0.625, 0.625, 0.625], [0.124, 0.625, 0.625], [0.250, 0.250, 0.250], [0.000, 0.000, 0.000]]}

---

{"formula": "Tb5NdRu3", "functional": "GGA-PBE", "state": "optimized geometry", "n_ef_per_ev_cell": 5.0, "energy_ev_per_cell": -115.00, "formation_enthalpy_0k_mev_per_atom": -195, "volume_a3_per_cell": 521, "mass_density_g_cm3": 7.91, "sg": "C2/m, No. 12", "crystal_system": "monoclinic", "lattice_angstrom": [[7.686, 0.131, 0.074], [2.230, 7.356, 0.074], [3.030, 2.288, 9.317]], "species": ["Tb", "Tb", "Tb", "Tb", "Tb", "Tb", "Tb", "Tb", "Tb", "Tb", "Nd", "Nd", "Ru", "Ru", "Ru", "Ru", "Ru", "Ru"], "fractional_positions": [[0.964, 0.363, 0.329], [0.303, 0.697, 0.000], [0.767, 0.767, 0.032], [0.429, 0.429, 0.371], [0.571, 0.571, 0.629], [0.233, 0.233, 0.968], [0.363, 0.964, 0.329], [0.697, 0.303, 0.000], [0.036, 0.637, 0.671], [0.637, 0.036, 0.671], [0.106, 0.106, 0.698], [0.894, 0.894, 0.302], [0.668, 0.668, 0.832], [0.660, 0.660, 0.330], [0.000, 0.000, 0.000], [0.000, 0.000, 0.500], [0.332, 0.332, 0.168], [0.340, 0.340, 0.670]]}

---

{"formula": "AcAgS2", "functional": "GGA-PBE", "state": "optimized geometry", "n_ef_per_ev_cell": 1.9, "energy_ev_per_cell": -19.65, "e_form_raw_ev_per_atom": -1.1080, "volume_a3_per_cell": 91, "mass_density_g_cm3": 7.30, "sg": "P4/mmm, No. 123", "crystal_system": "tetragonal", "lattice_angstrom": [[3.720, 0.000, 0.000], [0.000, 4.938, 0.000], [0.000, 0.000, 4.938]], "species": ["Ac", "S", "S", "Ag"], "fractional_positions": [[0.500, 0.500, 0.500], [0.000, 0.000, 0.500], [0.000, 0.500, 0.000], [0.500, 0.000, 0.000]]}

---

{"formula": "Mn3SiH", "functional": "GGA-PBE", "state": "optimized geometry", "n_ef_per_ev_cell": 8.9, "energy_ev_per_cell": -73.79, "polymorph_energy_mev_per_atom": 119, "volume_a3_per_cell": 96, "mass_density_g_cm3": 6.71, "sg": "P-1, No. 2", "crystal_system": "triclinic", "lattice_angstrom": [[-0.196, 2.278, -4.597], [-0.231, -4.906, -0.979], [-3.740, 2.007, 1.030]], "species": ["H", "H", "Si", "Si", "Mn", "Mn", "Mn", "Mn", "Mn", "Mn"], "fractional_positions": [[0.581, 0.956, 0.707], [0.355, 0.876, 0.245], [0.159, 0.197, 0.191], [0.777, 0.635, 0.762], [0.918, 0.163, 0.678], [0.543, 0.651, 0.267], [0.663, 0.159, 0.179], [0.392, 0.181, 0.686], [0.018, 0.669, 0.275], [0.273, 0.673, 0.774]]}

---

{"formula": "NaB3Ru", "functional": "GGA-PBE", "state": "optimized geometry", "n_ef_per_ev_cell": 4.9, "energy_ev_per_cell": -15.13, "formation_enthalpy_0k_mev_per_atom": 3099, "polymorph_energy_mev_per_atom": 2521, "volume_a3_per_cell": 61, "mass_density_g_cm3": 4.27, "sg": "Pm-3m, No. 221", "crystal_system": "cubic", "lattice_angstrom": [[-1.104, -3.055, -2.216], [1.570, -2.471, 2.625], [-3.432, -0.148, 1.914]], "species": ["Ru", "B", "B", "B", "Na"], "fractional_positions": [[0.500, 0.500, 0.500], [0.000, 0.500, 0.000], [0.000, 0.000, 0.500], [0.500, 0.000, 0.000], [0.000, 0.000, 0.000]]}

---

{"formula": "GdHoRu", "functional": "GGA-PBE", "state": "optimized geometry", "n_ef_per_ev_cell": 2.4, "energy_ev_per_cell": -28.32, "formation_enthalpy_0k_mev_per_atom": -129, "polymorph_energy_mev_per_atom": 195, "volume_a3_per_cell": 69, "mass_density_g_cm3": 10.16, "sg": "P3m1, No. 156", "crystal_system": "trigonal", "lattice_angstrom": [[-1.170, 2.333, -2.495], [-4.447, -0.901, 1.243], [2.380, 3.460, 2.120]], "species": ["Ru", "Gd", "Ho"], "fractional_positions": [[0.342, 0.333, 0.667], [0.056, 0.000, 0.000], [0.602, 0.667, 0.333]]}

---

{"formula": "PIrCl2", "functional": "GGA-PBE", "state": "optimized geometry", "n_ef_per_ev_cell": 3.7, "energy_ev_per_cell": -17.01, "polymorph_energy_mev_per_atom": 900, "e_form_raw_ev_per_atom": 0.2378, "volume_a3_per_cell": 82, "mass_density_g_cm3": 5.94, "sg": "P4mm, No. 99", "crystal_system": "tetragonal", "lattice_angstrom": [[2.954, 0.000, 0.000], [0.000, 2.954, 0.000], [0.000, 0.000, 9.419]], "species": ["Cl", "Cl", "Ir", "P"], "fractional_positions": [[0.000, 0.000, 0.942], [0.500, 0.500, 0.340], [0.000, 0.000, 0.542], [0.500, 0.500, 0.677]]}

---

{"formula": "Li2LaInCl8", "functional": "GGA-PBE", "state": "optimized geometry", "n_ef_per_ev_cell": 0.0, "energy_ev_per_cell": -46.79, "e_form_raw_ev_per_atom": -1.7103, "volume_a3_per_cell": 319, "mass_density_g_cm3": 2.87, "sg": "P2/m, No. 10", "crystal_system": "monoclinic", "lattice_angstrom": [[6.332, -0.219, -0.004], [-0.227, 6.249, -0.007], [0.005, 0.009, 8.062]], "species": ["Li", "Li", "La", "In", "Cl", "Cl", "Cl", "Cl", "Cl", "Cl", "Cl", "Cl"], "fractional_positions": [[0.500, 0.500, 0.755], [0.500, 0.500, 0.245], [0.000, 0.000, 0.500], [0.000, 0.000, 0.000], [0.184, 0.791, 0.230], [0.696, 0.717, 0.000], [0.816, 0.209, 0.230], [0.816, 0.209, 0.770], [0.304, 0.283, 0.000], [0.184, 0.791, 0.770], [0.669, 0.698, 0.500], [0.331, 0.302, 0.500]]}

---

{"formula": "UMn5Ge6", "functional": "GGA-PBE", "state": "optimized geometry", "n_ef_per_ev_cell": 10.0, "energy_ev_per_cell": -84.79, "formation_enthalpy_0k_mev_per_atom": 5, "volume_a3_per_cell": 194, "mass_density_g_cm3": 8.11, "sg": "C2/m, No. 12", "crystal_system": "monoclinic", "lattice_angstrom": [[6.888, 0.249, 0.000], [2.260, 4.914, 0.000], [1.130, 2.457, 5.838]], "species": ["U", "Mn", "Mn", "Mn", "Mn", "Mn", "Ge", "Ge", "Ge", "Ge", "Ge", "Ge"], "fractional_positions": [[0.000, 0.000, 0.000], [0.500, 0.123, 0.754], [0.000, 0.312, 0.375], [0.500, 0.500, 0.000], [0.000, 0.688, 0.625], [0.500, 0.877, 0.246], [0.702, 0.115, 0.371], [0.298, 0.514, 0.371], [0.214, 0.354, 0.000], [0.786, 0.646, 0.000], [0.702, 0.486, 0.629], [0.298, 0.885, 0.629]]}

---

{"formula": "SrLa2Er", "functional": "GGA-PBE", "state": "optimized geometry", "n_ef_per_ev_cell": 4.6, "energy_ev_per_cell": -15.68, "formation_enthalpy_0k_mev_per_atom": 105, "polymorph_energy_mev_per_atom": 12, "volume_a3_per_cell": 161, "mass_density_g_cm3": 5.51, "sg": "P4/mmm, No. 123", "crystal_system": "tetragonal", "lattice_angstrom": [[-0.022, -3.484, 2.337], [4.082, -0.558, -0.793], [2.108, 4.935, 7.377]], "species": ["Sr", "Er", "La", "La"], "fractional_positions": [[0.500, 0.500, 0.500], [0.500, 0.500, 0.000], [0.000, 0.000, 0.795], [0.000, 0.000, 0.205]]}

---

{"formula": "YHfTlCd2", "functional": "GGA-PBE", "state": "optimized geometry", "n_ef_per_ev_cell": 6.8, "energy_ev_per_cell": -15.38, "formation_enthalpy_0k_mev_per_atom": 1047, "volume_a3_per_cell": 179, "mass_density_g_cm3": 6.45, "sg": "P4/mmm, No. 123", "crystal_system": "tetragonal", "lattice_angstrom": [[-2.278, 5.232, 0.837], [-3.702, -2.137, 3.284], [3.519, 0.813, 4.496]], "species": ["Y", "Tl", "Hf", "Cd", "Cd"], "fractional_positions": [[0.000, 0.000, 0.000], [0.500, 0.500, 0.500], [0.000, 0.500, 0.000], [0.000, 0.000, 0.500], [0.500, 0.000, 0.000]]}

---

{"formula": "PmAgAsH", "functional": "GGA-PBE", "state": "optimized geometry", "energy_ev_per_cell": -17.21, "polymorph_energy_mev_per_atom": 298, "volume_a3_per_cell": 74, "mass_density_g_cm3": 7.37, "sg": "F-43m, No. 216", "crystal_system": "cubic", "lattice_angstrom": [[4.715, 0.000, 0.000], [2.358, 4.084, 0.000], [2.358, 1.361, 3.850]], "species": ["H", "As", "Ag", "Pm"], "fractional_positions": [[0.250, 0.250, 0.250], [0.750, 0.750, 0.750], [0.000, 0.000, 0.000], [0.500, 0.500, 0.500]]}

---

{"formula": "Pa4CuN7", "functional": "GGA-PBE", "state": "optimized geometry", "energy_ev_per_cell": -117.38, "e_form_raw_ev_per_atom": -1.4181, "volume_a3_per_cell": 164, "mass_density_g_cm3": 10.99, "sg": "C2/m, No. 12", "crystal_system": "monoclinic", "lattice_angstrom": [[3.676, 0.000, 1.083], [1.817, 6.520, 0.613], [-0.016, -0.278, 6.838]], "species": ["Pa", "Pa", "Pa", "Pa", "Cu", "N", "N", "N", "N", "N", "N", "N"], "fractional_positions": [[0.577, 0.224, 0.621], [0.423, 0.776, 0.379], [0.743, 0.674, 0.840], [0.257, 0.326, 0.160], [0.000, 0.000, 0.000], [0.795, 0.862, 0.549], [0.205, 0.138, 0.451], [0.097, 0.665, 0.140], [0.903, 0.335, 0.860], [0.363, 0.595, 0.679], [0.500, 0.000, 0.000], [0.637, 0.405, 0.321]]}

---

| no. | total magnetic moment (μB per atom) |
| --- | --- |
| 1 | 0.00 |
| 2 | 0.00 |
| 3 | 0.00 |
| 4 | 0.00 |
| 5 | 0.00 |
| 6 | 0.00 |
| 7 | 0.22 |
| 8 | 0.88 |
| 9 | 0.00 |
| 10 | 0.00 |
| 11 | 0.08 |
| 12 | 0.07 |
| 13 | 2.45 |
| 14 | 0.05 |
| 15 | 0.00 |
| 16 | 0.98 |
| 17 | 0.00 |
| 18 | 0.00 |
| 19 | 0.00 |
| 20 | 0.00 |